(1)
RbNbPd | PBE | relaxed

Computed properties:
- calculated volume (Å³ per cell) = 358.1
- size of the total moment (μB per formula unit) = 4.0
- density (g cm⁻³) = 5.28
- raw total energy (eV/atom) = -3.3293

Lattice parameters (Å, degrees): 7.1011 7.1011 7.1011 90.00 90.00 90.00
With the nearest neighbours (Å) after each atom.
Element x y z (fractional)
Rb1 0.0000 0.0000 0.0000  4 Pd 3.07, 4 Nb 3.07
Rb2 0.0000 0.5000 0.5000  4 Pd 3.07, 4 Nb 3.07
Rb3 0.5000 0.0000 0.5000  4 Pd 3.07, 4 Nb 3.07
Rb4 0.5000 0.5000 0.0000  4 Pd 3.07, 4 Nb 3.07
Nb1 0.2500 0.2500 0.7500  4 Rb 3.07
Nb2 0.2500 0.7500 0.2500  4 Rb 3.07
Nb3 0.7500 0.2500 0.2500  4 Rb 3.07
Nb4 0.7500 0.7500 0.7500  4 Rb 3.07
Pd1 0.2500 0.2500 0.2500  4 Rb 3.07
Pd2 0.2500 0.7500 0.7500  4 Rb 3.07
Pd3 0.7500 0.2500 0.7500  4 Rb 3.07
Pd4 0.7500 0.7500 0.2500  4 Rb 3.07

***

(2)
RbNbPd | PBE | relaxed

Computed properties:
- calculated volume (Å³ per cell) = 331.7
- size of the total moment (μB per formula unit) = 2.3
- density (g cm⁻³) = 5.70
- raw total energy (eV/atom) = -3.9919

Lattice parameters (Å, degrees): 6.9222 6.9222 6.9222 90.00 90.00 90.00
With the nearest neighbours (Å) after each atom.
Element x y z (fractional)
Rb1 0.0000 0.0000 0.0000  4 Pd 3.00
Rb2 0.0000 0.5000 0.5000  4 Pd 3.00
Rb3 0.5000 0.0000 0.5000  4 Pd 3.00
Rb4 0.5000 0.5000 0.0000  4 Pd 3.00
Nb1 0.0000 0.0000 0.5000  4 Pd 3.00
Nb2 0.0000 0.5000 0.0000  4 Pd 3.00
Nb3 0.5000 0.0000 0.0000  4 Pd 3.00
Nb4 0.5000 0.5000 0.5000  4 Pd 3.00
Pd1 0.2500 0.2500 0.7500  4 Nb 3.00, 4 Rb 3.00
Pd2 0.2500 0.7500 0.2500  4 Nb 3.00, 4 Rb 3.00
Pd3 0.7500 0.2500 0.2500  4 Nb 3.00, 4 Rb 3.00
Pd4 0.7500 0.7500 0.7500  4 Nb 3.00, 4 Rb 3.00

***

(3)
Rb2Nb2Pd3 | PBE | relaxed

Computed properties:
- calculated volume (Å³ per cell) = 195.4
- size of the total moment (μB per formula unit) = 1.1
- density (g cm⁻³) = 5.74
- raw total energy (eV/atom) = -5.1281

Lattice parameters (Å, degrees): 11.1502 11.1502 11.1502 23.62 23.62 23.62
With the nearest neighbours (Å) after each atom.
Element x y z (fractional)
Rb1 0.0000 0.0000 0.0000  3 Pd 3.33
Rb2 0.4186 0.4186 0.4186  1 Pd 2.85
Nb1 0.1916 0.1916 0.1916  7 Pd 2.58-2.70
Nb2 0.5848 0.5848 0.5848  4 Pd 2.55-2.71
Pd1 0.2708 0.2708 0.2708  4 Nb 2.58-2.71
Pd2 0.5062 0.5062 0.5062  4 Nb 2.55-2.70, 3 Pd 2.81, 1 Rb 2.85
Pd3 0.8693 0.8693 0.8693  3 Nb 2.66, 3 Pd 2.81

***

(4)
RbNbPdSe3 | PBE | relaxed

Computed properties:
- calculated volume (Å³ per cell) = 301.6
- size of the total moment (μB per formula unit) = 0.0
- density (g cm⁻³) = 5.74
- raw total energy (eV/atom) = -5.2980

Lattice parameters (Å, degrees): 8.5946 3.7746 10.2344 90.00 114.70 90.00
With the nearest neighbours (Å) after each atom.
Element x y z (fractional)
Rb1 0.0216 0.2500 0.2827  7 Se 3.42-3.79, 2 Rb 3.77
Rb2 0.9784 0.7500 0.7173  7 Se 3.42-3.79, 2 Rb 3.77
Nb1 0.4647 0.2500 0.1731  6 Se 2.53-2.74
Nb2 0.5353 0.7500 0.8269  6 Se 2.53-2.74
Pd1 0.4612 0.7500 0.3815  4 Se 2.51-2.69
Pd2 0.5388 0.2500 0.6185  4 Se 2.51-2.69
Se1 0.2349 0.7500 0.1275  1 Pd 2.51, 2 Nb 2.63
Se2 0.3143 0.7500 0.5679  1 Nb 2.53, 3 Pd 2.59-2.69
Se3 0.3409 0.2500 0.8795  3 Nb 2.72-2.74
Se4 0.6591 0.7500 0.1205  3 Nb 2.72-2.74
Se5 0.6857 0.2500 0.4321  1 Nb 2.53, 3 Pd 2.59-2.69
Se6 0.7651 0.2500 0.8725  1 Pd 2.51, 2 Nb 2.63

***

(5)
Nb3PdS6 | PBE | relaxed

Computed properties:
- calculated volume (Å³ per cell) = 365.0
- size of the total moment (μB per formula unit) = 0.0
- density (g cm⁻³) = 5.25
- raw total energy (eV/atom) = -6.9861

Lattice parameters (Å, degrees): 5.8377 5.8377 12.3680 90.00 90.00 120.00
With the nearest neighbours (Å) after each atom.
Element x y z (fractional)
Nb1 0.0000 0.0000 0.0000  6 S 2.48
Nb2 0.0000 0.0000 0.5000  6 S 2.48
Nb3 0.3333 0.6667 0.0012  6 S 2.47-2.54
Nb4 0.3333 0.6667 0.4988  6 S 2.47-2.54
Nb5 0.6667 0.3333 0.5012  6 S 2.47-2.54
Nb6 0.6667 0.3333 0.9988  6 S 2.47-2.54
Pd1 0.3333 0.6667 0.7500  6 S 2.51
Pd2 0.6667 0.3333 0.2500  6 S 2.51
S1 0.0072 0.3338 0.1262  3 Nb 2.47-2.54, 1 Pd 2.51
S2 0.0072 0.6734 0.3738  3 Nb 2.47-2.54, 1 Pd 2.51
S3 0.3266 0.3338 0.3738  3 Nb 2.47-2.54, 1 Pd 2.51
S4 0.3266 0.9928 0.1262  3 Nb 2.47-2.54, 1 Pd 2.51
S5 0.3338 0.0072 0.8738  3 Nb 2.47-2.54, 1 Pd 2.51
S6 0.3338 0.3266 0.6262  3 Nb 2.47-2.54, 1 Pd 2.51
S7 0.6662 0.6734 0.1262  3 Nb 2.47-2.54, 1 Pd 2.51
S8 0.6662 0.9928 0.3738  3 Nb 2.47-2.54, 1 Pd 2.51
S9 0.6734 0.0072 0.6262  3 Nb 2.47-2.54, 1 Pd 2.51
S10 0.6734 0.6662 0.8738  3 Nb 2.47-2.54, 1 Pd 2.51
S11 0.9928 0.3266 0.8738  3 Nb 2.47-2.54, 1 Pd 2.51
S12 0.9928 0.6662 0.6262  3 Nb 2.47-2.54, 1 Pd 2.51

***

(6)
Nb3Sb5Pd5 | PBE | relaxed

Computed properties:
- calculated volume (Å³ per cell) = 297.3
- size of the total moment (μB per formula unit) = 0.0
- density (g cm⁻³) = 7.93
- raw total energy (eV/atom) = -6.2081

Lattice parameters (Å, degrees): 7.5571 7.5571 9.6778 129.66 129.66 48.97
With the nearest neighbours (Å) after each atom.
Element x y z (fractional)
Nb1 0.0000 0.0000 0.0000  4 Pd 2.61-2.64
Nb2 0.1961 0.2011 0.6003  4 Pd 2.59-2.67
Nb3 0.7989 0.8039 0.3997  4 Pd 2.59-2.67
Sb1 0.0991 0.1174 0.8146  4 Pd 2.69-2.75
Sb2 0.3121 0.3205 0.4145  4 Pd 2.65-2.70
Sb3 0.5027 0.4973 0.0000  4 Pd 2.65-2.70
Sb4 0.6795 0.6879 0.5855  4 Pd 2.65-2.70
Sb5 0.8826 0.9009 0.1854  4 Pd 2.69-2.75
Pd1 0.0482 0.5574 0.8904  2 Nb 2.60-2.61, 4 Sb 2.65-2.70
Pd2 0.2237 0.7763 0.5000  2 Nb 2.59, 4 Sb 2.65-2.69
Pd3 0.4426 0.9518 0.1096  2 Nb 2.60-2.61, 4 Sb 2.65-2.70
Pd4 0.6498 0.1330 0.6966  3 Nb 2.64-2.67, 4 Sb 2.69-2.75
Pd5 0.8670 0.3502 0.3034  3 Nb 2.64-2.67, 4 Sb 2.69-2.75

***

(7)
ScNb2Pd | PBE | relaxed

Computed properties:
- calculated volume (Å³ per cell) = 283.9
- size of the total moment (μB per formula unit) = 0.0
- E_form (eV/atom) = -0.13
- density (g cm⁻³) = 7.89
- raw total energy (eV/atom) = -8.0535

Lattice parameters (Å, degrees): 6.5721 6.5721 6.5721 90.00 90.00 90.00
With the nearest neighbours (Å) after each atom.
Element x y z (fractional)
Sc1 0.0000 0.0000 0.0000  4 Nb 2.85, 4 Pd 2.85
Sc2 0.0000 0.5000 0.5000  4 Nb 2.85, 4 Pd 2.85
Sc3 0.5000 0.0000 0.5000  4 Nb 2.85, 4 Pd 2.85
Sc4 0.5000 0.5000 0.0000  4 Nb 2.85, 4 Pd 2.85
Nb1 0.0000 0.0000 0.5000  4 Nb 2.85, 4 Pd 2.85
Nb2 0.0000 0.5000 0.0000  4 Nb 2.85, 4 Pd 2.85
Nb3 0.2500 0.2500 0.2500  4 Nb 2.85, 4 Sc 2.85
Nb4 0.2500 0.7500 0.7500  4 Nb 2.85, 4 Sc 2.85
Nb5 0.5000 0.0000 0.0000  4 Nb 2.85, 4 Pd 2.85
Nb6 0.5000 0.5000 0.5000  4 Nb 2.85, 4 Pd 2.85
Nb7 0.7500 0.2500 0.7500  4 Nb 2.85, 4 Sc 2.85
Nb8 0.7500 0.7500 0.2500  4 Nb 2.85, 4 Sc 2.85
Pd1 0.2500 0.2500 0.7500  4 Nb 2.85, 4 Sc 2.85
Pd2 0.2500 0.7500 0.2500  4 Nb 2.85, 4 Sc 2.85
Pd3 0.7500 0.2500 0.2500  4 Nb 2.85, 4 Sc 2.85
Pd4 0.7500 0.7500 0.7500  4 Sc 2.85, 4 Nb 2.85

***

(8)
Nb4Pd3Se12 | PBE | relaxed

Computed properties:
- calculated volume (Å³ per cell) = 437.9
- size of the total moment (μB per formula unit) = 0.0
- density (g cm⁻³) = 6.21
- raw total energy (eV/atom) = -5.8083

Lattice parameters (Å, degrees): 7.0117 7.0117 19.5525 109.26 109.26 28.98
With the nearest neighbours (Å) after each atom.
Element x y z (fractional)
Nb1 0.1256 0.1256 0.1484  6 Se 2.55-2.75
Nb2 0.2463 0.2463 0.4072  6 Se 2.59-2.72
Nb3 0.7537 0.7537 0.5928  6 Se 2.59-2.72
Nb4 0.8744 0.8744 0.8516  6 Se 2.55-2.75
Pd1 0.2658 0.2658 0.7187  5 Se 2.52-2.58
Pd2 0.5000 0.5000 0.0000  4 Se 2.46-2.47
Pd3 0.7342 0.7342 0.2813  5 Se 2.52-2.58
Se1 0.0946 0.0946 0.2802  2 Pd 2.58, 2 Nb 2.63-2.75
Se2 0.1165 0.1165 0.5984  1 Pd 2.53, 2 Nb 2.59
Se3 0.3116 0.3116 0.9277  1 Pd 2.46, 2 Nb 2.62
Se4 0.3188 0.3188 0.2269  2 Pd 2.52, 1 Nb 2.55
Se5 0.3661 0.3661 0.5508  3 Nb 2.63-2.72
Se6 0.4726 0.4726 0.1185  1 Pd 2.47, 2 Nb 2.63
Se7 0.5274 0.5274 0.8815  1 Pd 2.47, 2 Nb 2.63
Se8 0.6339 0.6339 0.4492  3 Nb 2.63-2.72
Se9 0.6812 0.6812 0.7731  2 Pd 2.52, 1 Nb 2.55
Se10 0.6884 0.6884 0.0723  1 Pd 2.46, 2 Nb 2.62
Se11 0.8835 0.8835 0.4016  1 Pd 2.53, 2 Nb 2.59
Se12 0.9054 0.9054 0.7198  2 Pd 2.58, 2 Nb 2.63-2.75

***

Which of these has the highest density? Nb3Sb5Pd5

***

Which formula does entry 4 have? RbNbPdSe3